Material: TlNiF3
Method: DFT, PBE with a Hubbard U
State: optimized geometry

abc: 6.109 6.109 6.109
angles: 67.75 67.75 67.75
Each line ends with the local moment (μB).
Sites, in units of the cell vectors:
Ni1 0.250 0.250 0.250  1.76
Ni2 0.750 0.750 0.750  1.76
Tl1 0.000 0.000 0.000  0.00
Tl2 0.500 0.500 0.500  0.00
F1 0.982 0.518 0.250  0.07
F2 0.518 0.250 0.982  0.07
F3 0.250 0.982 0.518  0.07
F4 0.750 0.018 0.482  0.07
F5 0.482 0.750 0.018  0.07
F6 0.018 0.482 0.750  0.07

The space group is R-3c (167). Its density of states at the Fermi level is 0.000 states/eV/cell. For the total energy, the calculation gives -38.0 eV/cell. The total moment comes out at 2.0 μB per formula unit.